1.
DFT (PBE) results for BBr3Cl after structural relaxation.

Values from the calculation:
* symmetry: No. 221
* E: -0.055 hartree per atom
* formation energy from raw total energies: 1.2059 eV per atom

Unit cell a=5.321 b=5.321 c=5.321 alpha=90.00 beta=90.00 gamma=90.00
Sites, in units of the cell vectors:
B1 0.500 0.500 0.500
Br1 0.000 0.500 0.000
Br2 0.000 0.000 0.500
Br3 0.500 0.000 0.000
Cl1 0.000 0.000 0.000

2.
DFT (PBE) results for CaZnPd after structural relaxation.

Values from the calculation:
* symmetry: No. 62
* E: -0.127 hartree per atom
* energy of formation: -0.629 eV/atom

Unit cell a=4.414 b=7.165 c=7.779 alpha=90.00 beta=90.00 gamma=90.00
Sites, in units of the cell vectors:
Zn1 0.250 0.669 0.420
Zn2 0.250 0.169 0.080
Zn3 0.750 0.331 0.580
Zn4 0.750 0.831 0.920
Ca1 0.250 0.011 0.694
Ca2 0.250 0.511 0.806
Ca3 0.750 0.489 0.194
Ca4 0.750 0.989 0.306
Pd1 0.750 0.207 0.899
Pd2 0.250 0.293 0.399
Pd3 0.250 0.793 0.101
Pd4 0.750 0.707 0.601

3.
DFT (PBE) results for Tl2FeSiCl after structural relaxation.

Values from the calculation:
* symmetry: No. 123
* E: -0.114 hartree per atom
* formation energy from raw total energies: 0.9883 eV per atom

Unit cell a=5.705 b=4.780 c=5.705 alpha=90.00 beta=90.00 gamma=90.00
Last column: magnetic moment on the atom in μB.
Sites, in units of the cell vectors:
Fe1 0.500 0.500 0.500  3.25
Cl1 0.000 0.000 0.000  -0.02
Tl1 0.000 0.000 0.500  -0.01
Tl2 0.500 0.000 0.000  -0.01
Si1 0.000 0.500 0.000  -0.04